(1)
Density functional theory data (PBE-GGA) for crystalline CoTcSeCl2 at its relaxed geometry.

Cell: 4.774 4.774 4.906 Å, 90.00 90.00 90.00°
Sites, in units of the cell vectors:
1 Co 0.000 0.000 0.000
2 Tc 0.500 0.500 0.500
3 Se 0.500 0.500 0.000
4 Cl 0.000 0.500 0.500
5 Cl 0.500 0.000 0.500

## Properties
Space-group type: P4/mmm
Raw formation energy: 0.6204 eV per atom
DOS at the Fermi energy: 10.924 states/eV per cell

---

(2)
Density functional theory data (PBE-GGA) for crystalline MnMo2Au at its relaxed geometry.

Cell: 2.716 2.716 8.536 Å, 90.00 90.00 90.00°
Sites, in units of the cell vectors:
1 Mn 0.000 0.000 0.000
2 Mo 0.000 0.000 0.492
3 Mo 0.500 0.500 0.228
4 Au 0.500 0.500 0.753

## Properties
Space-group type: P4mm
DOS at the Fermi energy: 3.573 states/eV per cell
Energy above the lowest structure with this stoichiometry: 63 meV per atom

---

(3)
Density functional theory data (PBE-GGA) for crystalline In3GeMo at its relaxed geometry.

Cell: 5.276 5.276 5.276 Å, 90.00 90.00 90.00°
Sites, in units of the cell vectors:
1 In 0.000 0.000 0.500
2 In 0.000 0.500 0.000
3 In 0.500 0.000 0.000
4 Ge 0.500 0.500 0.500
5 Mo 0.000 0.000 0.000

## Properties
Space-group type: Pm-3m
DOS at the Fermi energy: 4.003 states/eV per cell
Energy above the lowest structure with this stoichiometry: 0 meV per atom

---

(4)
Density functional theory data (PBE-GGA) for crystalline CeGd2As at its relaxed geometry.

Cell: 3.860 3.860 28.559 Å, 90.00 90.00 120.00°
Sites, in units of the cell vectors:
1 Ce 0.000 0.000 0.000
2 Ce 0.333 0.667 0.667
3 Ce 0.667 0.333 0.333
4 Gd 0.000 0.000 0.229
5 Gd 0.000 0.000 0.771
6 Gd 0.333 0.667 0.438
7 Gd 0.333 0.667 0.896
8 Gd 0.667 0.333 0.104
9 Gd 0.667 0.333 0.562
10 As 0.000 0.000 0.500
11 As 0.333 0.667 0.167
12 As 0.667 0.333 0.833

## Properties
Space-group type: R-3m
DOS at the Fermi energy: 24.738 states/eV per cell
Uncorrected energy: -10.20 eV/atom

---

(5)
Density functional theory data (PBE-GGA) for crystalline YSb2Au at its relaxed geometry.

Cell: 4.164 4.567 10.235 Å, 90.00 90.00 90.00°
Sites, in units of the cell vectors:
1 Y 0.000 0.000 0.000
2 Y 0.500 0.500 0.500
3 Sb 0.000 0.000 0.484
4 Sb 0.000 0.500 0.240
5 Sb 0.500 0.000 0.740
6 Sb 0.500 0.500 0.984
7 Au 0.000 0.500 0.762
8 Au 0.500 0.000 0.262

## Properties
Space-group type: Imm2
Raw formation energy: -0.5175 eV per atom
DOS at the Fermi energy: 3.978 states/eV per cell

---

(6)
Density functional theory data (PBE-GGA) for crystalline HfTi2Se at its relaxed geometry.

Cell: 3.251 3.251 24.918 Å, 90.00 90.00 120.00°
Sites, in units of the cell vectors:
1 Hf 0.000 0.000 0.000
2 Hf 0.333 0.667 0.667
3 Hf 0.667 0.333 0.333
4 Ti 0.000 0.000 0.574
5 Ti 0.000 0.000 0.761
6 Ti 0.333 0.667 0.241
7 Ti 0.333 0.667 0.427
8 Ti 0.667 0.333 0.094
9 Ti 0.667 0.333 0.907
10 Se 0.000 0.000 0.168
11 Se 0.333 0.667 0.835
12 Se 0.667 0.333 0.501

## Properties
Space-group type: R3m
Raw formation energy: -0.3847 eV per atom
DOS at the Fermi energy: 8.071 states/eV per cell